1.
Mg2ScHg | PBE | optimized geometry

Cell: 8.0645 8.0645 6.4295 Å, 51.16 51.16 90.00°
Last column: nearest neighbours and their distance in Å.
Atoms (fractional coordinates):
1 Mg 0.0904 0.6250 0.2500  2 Hg 2.76, 2 Mg 3.02
2 Mg 0.3750 0.3404 0.7500  2 Hg 2.76, 2 Mg 3.02
3 Mg 0.8750 0.9096 0.7500  2 Hg 2.76, 2 Mg 3.02
4 Mg 0.6596 0.1250 0.2500  2 Hg 2.76, 2 Mg 3.02
5 Hg 0.7500 0.2500 0.5000  4 Mg 2.76, 2 Sc 2.97
6 Hg 0.0000 0.0000 0.0000  4 Mg 2.76, 2 Sc 2.97
7 Sc 0.5000 0.5000 0.0000  2 Hg 2.97, 4 Mg 3.14
8 Sc 0.2500 0.7500 0.5000  2 Hg 2.97, 4 Mg 3.14

Summary:
M_tot: 0.0 μB per formula unit
Energy relative to the elements: 0.0379 eV/atom

***

2.
Rb2NaNpO4 | PBE | optimized geometry

Cell: 3.5713 6.1086 6.8024 Å, 107.92 90.00 90.00°
Last column: nearest neighbours and their distance in Å.
Atoms (fractional coordinates):
1 Rb 0.5000 0.0000 0.5000  6 O 2.96-3.23
2 Rb 0.0000 0.5000 0.5000  6 O 2.80-2.83
3 O 0.0000 0.2984 0.8180  2 Np 2.30, 1 Na 2.50
4 O 0.5000 0.7116 0.8254  1 Np 2.01
5 O 0.5000 0.2884 0.1746  1 Np 2.01
6 O 0.0000 0.7016 0.1820  2 Np 2.30, 1 Na 2.50
7 Np 0.5000 0.5000 0.0000  2 O 2.01
8 Na 0.0000 0.0000 0.0000  6 O 2.50-2.53

Summary:
M_tot: 2.0 μB per formula unit
ΔE_f (raw): -2.17 eV per atom

***

3.
GeAu2Cl | PBE | optimized geometry

Cell: 4.8156 4.8156 4.8156 Å, 60.00 60.00 60.00°
Last column: nearest neighbours and their distance in Å.
Atoms (fractional coordinates):
1 Cl 0.0000 0.0000 0.0000  8 Au 2.95
2 Au 0.7500 0.7500 0.7500  4 Ge 2.95, 4 Cl 2.95
3 Au 0.2500 0.2500 0.2500  4 Ge 2.95, 4 Cl 2.95
4 Ge 0.5000 0.5000 0.5000  8 Au 2.95

Summary:
Energy above the lowest structure with this stoichiometry: 317 meV/atom
M_tot: 0.0 μB per formula unit
ΔE_f (raw): 0.35 eV per atom

***

4.
NdCuSe2O8 | PBE | optimized geometry

Cell: 5.5090 5.5090 6.8486 Å, 90.00 90.00 120.00°
Last column: nearest neighbours and their distance in Å.
Atoms (fractional coordinates):
1 O 0.3333 0.6667 0.4666  1 Se 1.68
2 O 0.6737 0.8369 0.7854  1 Se 1.70
3 O 0.1631 0.3263 0.7854  1 Se 1.70
4 O 0.8369 0.1631 0.2146  1 Se 1.70
5 O 0.8369 0.6737 0.2146  1 Se 1.70
6 O 0.6667 0.3333 0.5334  1 Se 1.68
7 O 0.3263 0.1631 0.2146  1 Se 1.70
8 O 0.1631 0.8369 0.7854  1 Se 1.70
9 Cu 0.0000 0.0000 0.0000  6 O 2.14
10 Nd 0.0000 0.0000 0.5000  6 O 2.50
11 Se 0.3333 0.6667 0.7126  4 O 1.68-1.70
12 Se 0.6667 0.3333 0.2874  4 O 1.68-1.70

Summary:
M_tot: 0.1 μB per formula unit
ΔE_f (raw): -1.16 eV per atom

***

Which value of M_tot does entry 2 give? 2.0 μB per formula unit